# 1
A plane-wave DFT calculation with GGA-PBE was carried out for crystalline FeSiHgW at its relaxed geometry.

Calculated values
E above lowest polymorph, kJ per mole of atoms: 0.0
Magnetic moment, μB/cell: 2.361
Calculated density, kg/m3: 12734

a = 4.420 Å, b = 4.420 Å, c = 4.420 Å
α = 60.00°, β = 60.00°, γ = 60.00°
Fractional positions:
Fe (0.750, 0.750, 0.750)
Si (0.000, 0.000, 0.000)
W (0.250, 0.250, 0.250)
Hg (0.500, 0.500, 0.500)



# 2
A plane-wave DFT calculation with GGA-PBE was carried out for crystalline MgAgSeO at its relaxed geometry.

Calculated values
E above lowest polymorph, kJ per mole of atoms: 23.9
Calculated density, kg/m3: 5555

a = 6.161 Å, b = 3.299 Å, c = 13.363 Å
α = 90.00°, β = 90.00°, γ = 90.00°
Fractional positions:
Ag (0.555, 0.250, 0.244)
O (0.796, 0.250, 0.364)
Se (0.295, 0.750, 0.397)
O (0.296, 0.250, 0.136)
Ag (0.445, 0.750, 0.756)
Ag (0.945, 0.750, 0.744)
Se (0.705, 0.250, 0.603)
O (0.704, 0.750, 0.864)
Mg (0.239, 0.750, 0.066)
Ag (0.055, 0.250, 0.256)
Mg (0.739, 0.750, 0.434)
Mg (0.261, 0.250, 0.566)
Se (0.795, 0.750, 0.103)
O (0.204, 0.750, 0.636)
Se (0.205, 0.250, 0.897)
Mg (0.761, 0.250, 0.934)



# 3
A plane-wave DFT calculation with GGA-PBE was carried out for crystalline Pr3In3Cl2 at its relaxed geometry.

Calculated values
Magnetic moment, μB/cell: 0.355
Calculated density, kg/m3: 5953
E, eV per atom: -3.9447

a = 8.533 Å, b = 8.533 Å, c = 8.533 Å
α = 40.24°, β = 40.24°, γ = 40.24°
Fractional positions:
Cl (0.815, 0.815, 0.815)
Pr (0.930, 0.930, 0.930)
In (0.500, 0.000, 0.500)
Pr (0.070, 0.070, 0.070)
In (0.000, 0.500, 0.500)
Pr (0.500, 0.500, 0.500)
Cl (0.185, 0.185, 0.185)
In (0.500, 0.500, 0.000)



# 4
A plane-wave DFT calculation with GGA-PBE was carried out for crystalline FeNi2Ir at its relaxed geometry.

Calculated values
Formation energy from the elements, kJ/mol of formula units: 27.0
Magnetic moment, μB/cell: 3.769
Calculated density, kg/m3: 12830

a = 4.059 Å, b = 4.059 Å, c = 4.059 Å
α = 60.00°, β = 60.00°, γ = 60.00°
Fractional positions:
Fe (0.250, 0.250, 0.250)
Ni (0.000, 0.000, 0.000)
Ni (0.750, 0.750, 0.750)
Ir (0.500, 0.500, 0.500)



# 5
A plane-wave DFT calculation with GGA-PBE was carried out for crystalline TaNbNiSn at its relaxed geometry.

Calculated values
E above lowest polymorph, kJ per mole of atoms: 0.0
Magnetic moment, μB/cell: 0.001
Calculated density, kg/m3: 10882

a = 4.601 Å, b = 4.601 Å, c = 4.601 Å
α = 60.00°, β = 60.00°, γ = 60.00°
Fractional positions:
Sn (0.000, 0.000, 0.000)
Nb (0.250, 0.250, 0.250)
Ta (0.500, 0.500, 0.500)
Ni (0.750, 0.750, 0.750)



# 6
A plane-wave DFT calculation with GGA-PBE was carried out for crystalline NaLuNO at its relaxed geometry.

Calculated values
E above lowest polymorph, kJ per mole of atoms: 5.4
Magnetic moment, μB/cell: 2.000
Calculated density, kg/m3: 6185

a = 4.035 Å, b = 4.556 Å, c = 6.659 Å
α = 90.00°, β = 90.00°, γ = 90.00°
Fractional positions:
N (0.000, 0.439, 0.680)
O (0.500, 0.938, 0.859)
Lu (0.500, 0.439, 0.821)
Lu (0.500, 0.939, 0.179)
Na (0.000, 0.939, 0.674)
Na (0.000, 0.439, 0.326)
N (0.000, 0.939, 0.320)
O (0.500, 0.438, 0.141)



# 7
A plane-wave DFT calculation with GGA-PBE was carried out for crystalline Nd3PdO6 at its relaxed geometry.

Calculated values
Magnetic moment, μB/cell: 1.999
Calculated density, kg/m3: 7140
E, eV per atom: -7.4573

a = 7.314 Å, b = 7.314 Å, c = 5.640 Å
α = 90.00°, β = 90.00°, γ = 101.75°
Fractional positions:
Nd (0.818, 0.588, 0.535)
O (0.604, 0.103, 0.844)
Nd (0.182, 0.412, 0.035)
O (0.172, 0.145, 0.811)
O (0.103, 0.604, 0.344)
O (0.855, 0.828, 0.811)
Nd (0.588, 0.818, 0.035)
O (0.396, 0.897, 0.344)
O (0.275, 0.725, 0.843)
Pd (0.363, 0.637, 0.539)
O (0.725, 0.275, 0.343)
Nd (0.895, 0.105, 0.592)
O (0.513, 0.487, 0.756)
O (0.897, 0.396, 0.844)
O (0.487, 0.513, 0.256)
O (0.828, 0.855, 0.311)
Nd (0.412, 0.182, 0.535)
Pd (0.637, 0.363, 0.039)
Nd (0.105, 0.895, 0.092)
O (0.145, 0.172, 0.311)



# 8
A plane-wave DFT calculation with GGA-PBE was carried out for crystalline Li2Mg2AlGaAg2 at its relaxed geometry.

Calculated values
Calculated density, kg/m3: 4674
E, eV per atom: -2.6595

a = 4.561 Å, b = 4.561 Å, c = 6.403 Å
α = 90.00°, β = 90.00°, γ = 90.00°
Fractional positions:
Mg (0.500, 0.500, 0.000)
Ag (0.500, 0.000, 0.757)
Al (0.000, 0.000, 0.000)
Li (0.500, 0.000, 0.254)
Li (0.000, 0.500, 0.746)
Ag (0.000, 0.500, 0.243)
Ga (0.500, 0.500, 0.500)
Mg (0.000, 0.000, 0.500)



# 9
A plane-wave DFT calculation with GGA-PBE was carried out for crystalline RePbNO at its relaxed geometry.

Calculated values
E above lowest polymorph, kJ per mole of atoms: 9.4
Magnetic moment, μB/cell: 0.003
Calculated density, kg/m3: 10380

a = 3.390 Å, b = 6.110 Å, c = 6.541 Å
α = 90.00°, β = 90.00°, γ = 90.00°
Fractional positions:
Re (0.500, 0.077, 0.510)
N (0.000, 0.193, 0.584)
Pb (0.000, 0.656, 0.422)
N (0.000, 0.807, 0.084)
O (0.500, 0.843, 0.730)
Pb (0.000, 0.344, 0.922)
Re (0.500, 0.923, 0.010)
O (0.500, 0.157, 0.230)



# 10
A plane-wave DFT calculation with GGA-PBE was carried out for crystalline Na4GeBiPt2 at its relaxed geometry.

Calculated values
Magnetic moment, μB/cell: 0.005
Calculated density, kg/m3: 8023
E, eV per atom: -3.4663

a = 4.729 Å, b = 4.729 Å, c = 7.068 Å
α = 90.00°, β = 90.00°, γ = 90.00°
Fractional positions:
Pt (0.000, 0.500, 0.722)
Ge (0.500, 0.500, 0.500)
Pt (0.500, 0.000, 0.278)
Na (0.000, 0.500, 0.273)
Na (0.000, 0.000, 0.500)
Na (0.500, 0.500, 0.000)
Na (0.500, 0.000, 0.727)
Bi (0.000, 0.000, 0.000)



# 11
A plane-wave DFT calculation with GGA-PBE was carried out for crystalline BeCoSnOs at its relaxed geometry.

Calculated values
E above lowest polymorph, kJ per mole of atoms: 0.0
Magnetic moment, μB/cell: 0.000
Calculated density, kg/m3: 11578

a = 4.244 Å, b = 4.244 Å, c = 4.244 Å
α = 60.00°, β = 60.00°, γ = 60.00°
Fractional positions:
Os (0.250, 0.250, 0.250)
Co (0.750, 0.750, 0.750)
Sn (0.000, 0.000, 0.000)
Be (0.500, 0.500, 0.500)



# 12
A plane-wave DFT calculation with GGA-PBE was carried out for crystalline PrGdZn6 at its relaxed geometry.

Calculated values
Formation energy from the elements, kJ/mol of formula units: -216.6
Magnetic moment, μB/cell: 0.038
Calculated density, kg/m3: 7537

a = 4.757 Å, b = 6.721 Å, c = 4.758 Å
α = 90.00°, β = 90.00°, γ = 90.00°
Fractional positions:
Zn (0.500, 0.000, 0.252)
Zn (0.000, 0.758, 0.246)
Gd (0.000, 0.000, 0.747)
Zn (0.000, 0.242, 0.246)
Zn (0.500, 0.242, 0.754)
Pr (0.500, 0.500, 0.253)
Zn (0.500, 0.758, 0.754)
Zn (0.000, 0.500, 0.749)